1.
Here is a relaxed CaInSi crystal from Alexandria. Energies are from PBEsol.

Lattice parameters (Å, degrees): 6.7364 6.7364 6.7364 90.00 90.00 90.00
Sites, in units of the cell vectors:
Ca 0.0000 0.0000 0.0000
Ca 0.0000 0.5000 0.5000
Ca 0.5000 0.0000 0.5000
Ca 0.5000 0.5000 0.0000
In 0.2500 0.2500 0.7500
In 0.2500 0.7500 0.2500
In 0.7500 0.2500 0.2500
In 0.7500 0.7500 0.7500
Si 0.0000 0.0000 0.5000
Si 0.0000 0.5000 0.0000
Si 0.5000 0.0000 0.0000
Si 0.5000 0.5000 0.5000

## Properties
As for the formation energy (no corrections): 0.0 eV per formula unit. As for the volume: 25.5 A^3/atom.

2.
Here is a relaxed NiBiMo3 crystal from Alexandria. Energies are from PBEsol.

Lattice parameters (Å, degrees): 4.5077 4.5077 4.5077 90.00 90.00 90.00
Sites, in units of the cell vectors:
Ni 0.0000 0.0000 0.0000
Bi 0.5000 0.5000 0.5000
Mo 0.0000 0.0000 0.5000
Mo 0.0000 0.5000 0.0000
Mo 0.5000 0.0000 0.0000

## Properties
The calculation puts the calculated formation energy at 6.29 eV/f.u. As for the volume: 18.3 A^3/atom.

3.
Here is a relaxed Zr2TlW crystal from Alexandria. Energies are from PBEsol.

Lattice parameters (Å, degrees): 3.0243 4.3691 6.1537 90.00 99.78 90.00
Sites, in units of the cell vectors:
Zr 0.1092 0.0000 0.2696
Zr 0.8908 0.0000 0.7304
Tl 0.5000 0.5000 0.0000
W 0.5000 0.5000 0.5000

## Properties
As for the energy relative to the lowest polymorph listed for this composition: 66 meV per atom. The calculation puts the calculated formation energy at 0.51 eV/f.u. As for the volume: 20.0 A^3/atom.

4.
Here is a relaxed ErMnNi4 crystal from Alexandria. Energies are from PBEsol.

Lattice parameters (Å, degrees): 4.7948 4.7948 4.7948 60.00 60.00 60.00
Sites, in units of the cell vectors:
Er 0.0000 0.0000 0.0000
Mn 0.2500 0.2500 0.2500
Ni 0.1273 0.6242 0.6242
Ni 0.6242 0.1273 0.6242
Ni 0.6242 0.6242 0.1273
Ni 0.6242 0.6242 0.6242

## Properties
The calculation puts the calculated formation energy at -1.60 eV/f.u. As for the volume: 13.0 A^3/atom.

5.
Here is a relaxed KFe3H crystal from Alexandria. Energies are from PBEsol.

Lattice parameters (Å, degrees): 3.9680 3.9680 3.9680 90.00 90.00 90.00
Sites, in units of the cell vectors:
K 0.0000 0.0000 0.0000
Fe 0.0000 0.5000 0.5000
Fe 0.5000 0.0000 0.5000
Fe 0.5000 0.5000 0.0000
H 0.5000 0.5000 0.5000

## Properties
The total energy is -5.14 eV per atom. As for the volume: 12.5 A^3/atom.

6.
Here is a relaxed Y2NiAs crystal from Alexandria. Energies are from PBEsol.

Lattice parameters (Å, degrees): 4.0227 3.9054 10.4878 90.00 90.00 90.00
Sites, in units of the cell vectors:
Y 0.0000 0.0000 0.0000
Y 0.0000 0.5000 0.5000
Y 0.5000 0.0000 0.2815
Y 0.5000 0.5000 0.7815
Ni 0.0000 0.0000 0.7195
Ni 0.0000 0.5000 0.2195
As 0.5000 0.0000 0.5697
As 0.5000 0.5000 0.0697

## Properties
The calculation puts the calculated formation energy at -3.80 eV/f.u. As for the volume: 20.6 A^3/atom.

7.
Here is a relaxed Pt3Au crystal from Alexandria. Energies are from PBEsol.

Lattice parameters (Å, degrees): 4.7985 9.2769 5.5666 90.00 90.00 90.00
Sites, in units of the cell vectors:
Pt 0.0954 0.2500 0.1314
Pt 0.2462 0.5024 0.8762
Pt 0.2462 0.9976 0.8762
Pt 0.2538 0.0024 0.3762
Pt 0.2538 0.4976 0.3762
Pt 0.4046 0.7500 0.6314
Pt 0.5954 0.2500 0.3686
Pt 0.7462 0.5024 0.6238
Pt 0.7462 0.9976 0.6238
Pt 0.7538 0.0024 0.1238
Pt 0.7538 0.4976 0.1238
Pt 0.9046 0.7500 0.8686
Au 0.0885 0.2500 0.6276
Au 0.4115 0.7500 0.1276
Au 0.5885 0.2500 0.8724
Au 0.9115 0.7500 0.3724

## Properties
The calculation puts the calculated formation energy at 0.32 eV/f.u. As for the volume: 15.5 A^3/atom.

8.
Here is a relaxed KCuP crystal from Alexandria. Energies are from PBEsol.

Lattice parameters (Å, degrees): 3.8556 3.8556 10.2871 90.00 90.00 120.00
Sites, in units of the cell vectors:
K 0.0000 0.0000 0.0000
K 0.0000 0.0000 0.5000
Cu 0.3333 0.6667 0.2500
Cu 0.6667 0.3333 0.7500
P 0.3333 0.6667 0.7500
P 0.6667 0.3333 0.2500

## Properties
The calculation puts the calculated formation energy at -0.65 eV/f.u. As for the volume: 22.1 A^3/atom.

9.
Here is a relaxed ZrSbPb crystal from Alexandria. Energies are from PBEsol.

Lattice parameters (Å, degrees): 4.1012 4.9119 15.1847 90.00 90.00 90.00
Sites, in units of the cell vectors:
Zr 0.0000 0.0000 0.0000
Zr 0.0000 0.5000 0.5000
Zr 0.5000 0.0000 0.5000
Zr 0.5000 0.5000 0.0000
Sb 0.0000 0.0000 0.6394
Sb 0.0000 0.5000 0.1394
Sb 0.5000 0.0000 0.1394
Sb 0.5000 0.5000 0.6394
Pb 0.0000 0.0000 0.3428
Pb 0.0000 0.5000 0.8428
Pb 0.5000 0.0000 0.8428
Pb 0.5000 0.5000 0.3428

## Properties
As for the formation energy (no corrections): -0.5 eV per formula unit. As for the energy relative to the lowest polymorph listed for this composition: 201 meV per atom. As for the volume: 25.5 A^3/atom.

10.
Here is a relaxed GaSbBr3 crystal from Alexandria. Energies are from PBEsol.

Lattice parameters (Å, degrees): 5.1256 5.1256 5.1256 90.00 90.00 90.00
Sites, in units of the cell vectors:
Ga 0.0000 0.0000 0.0000
Sb 0.5000 0.5000 0.5000
Br 0.0000 0.0000 0.5000
Br 0.0000 0.5000 0.0000
Br 0.5000 0.0000 0.0000

## Properties
As for the formation energy (no corrections): -0.1 eV per formula unit. As for the volume: 26.9 A^3/atom.

11.
Here is a relaxed K2PbAu crystal from Alexandria. Energies are from PBEsol.

Lattice parameters (Å, degrees): 4.6095 4.6095 10.9187 90.00 90.00 90.00
Sites, in units of the cell vectors:
K 0.0000 0.5000 0.2500
K 0.0000 0.5000 0.7500
K 0.5000 0.0000 0.2500
K 0.5000 0.0000 0.7500
Pb 0.0000 0.0000 0.0000
Pb 0.5000 0.5000 0.5000
Au 0.0000 0.0000 0.5000
Au 0.5000 0.5000 0.0000

## Properties
The calculation puts the calculated formation energy at 0.00 eV/f.u. As for the volume: 29.0 A^3/atom.

12.
Here is a relaxed RbGeP2Cl crystal from Alexandria. Energies are from PBEsol.

Lattice parameters (Å, degrees): 4.6523 4.6523 5.9846 90.00 90.00 90.00
Sites, in units of the cell vectors:
Rb 0.0000 0.0000 0.0000
Ge 0.5000 0.5000 0.5000
P 0.0000 0.5000 0.5000
P 0.5000 0.0000 0.5000
Cl 0.5000 0.5000 0.0000

## Properties
As for the formation energy (no corrections): 0.1 eV per formula unit. As for the energy relative to the lowest polymorph listed for this composition: 0 meV per atom. As for the volume: 25.9 A^3/atom.